Cd12Sb5I3 | GGA-PBE | relaxed

Summary:
Uncorrected formation energy = 19 meV per atom
Size of the total moment = 0.00 Bohr magnetons per cell

CIF file:
```
data_Cd12Sb5I3
_chemical_formula_sum 'Cd96 Sb40 I24'
_cell_length_a 17.9733
_cell_length_b 17.9733
_cell_length_c 17.9733
_cell_angle_alpha 90.00
_cell_angle_beta 90.00
_cell_angle_gamma 90.00
_symmetry_space_group_name_H-M 'I a -3 d'
_symmetry_Int_Tables_number 230
_symmetry_space_group_name_Hall '-I 4bd 2c 3'
loop_
_atom_site_label
_atom_site_fract_x
_atom_site_fract_y
_atom_site_fract_z
Cd1 0.0594 0.0769 0.6293
Sb1 0.0000 0.0000 0.0000
Sb2 0.0000 0.2500 0.3750
I1 0.0000 0.2500 0.1250
```